Record 1
Below is a PBEsol-optimized structure of LiZn2Tc, with properties calculated at the meta-GGA SCAN level.

Computed properties:
- formation enthalpy at 0 K (eV/atom) = -0.140
- energy (eV for the cell shown) = -65.0
- ΔE to the lowest computed polymorph (meV/atom) = 0
- total magnetic moment (μB/cell) = 0.00

Cell: 4.555 4.555 2.663 Å, 90.00 90.00 103.31°
Positions (direct):
Li 0.000 0.000 0.000
Zn 0.000 0.500 0.500
Zn 0.500 0.000 0.500
Tc 0.500 0.500 0.000


Record 2
Below is a PBEsol-optimized structure of MnTeOs2, with properties calculated at the meta-GGA SCAN level.

Computed properties:
- energy (eV for the cell shown) = -197.3
- energy relative to the elements, uncorrected (eV/f.u.) = 1.97
- total magnetic moment (μB/cell) = 3.25

Cell: 2.917 3.764 5.691 Å, 90.00 90.00 90.00°
Positions (direct):
Mn 0.000 0.000 0.000
Te 0.500 0.500 0.749
Os 0.000 0.000 0.437
Os 0.500 0.500 0.238


Record 3
Below is a PBEsol-optimized structure of K2BeCo, with properties calculated at the meta-GGA SCAN level.

Computed properties:
- formation enthalpy at 0 K (eV/atom) = 1.427
- energy (eV for the cell shown) = -65.2
- total magnetic moment (μB/cell) = 2.07

Cell: 11.260 11.260 11.260 Å, 160.15 160.15 28.22°
Positions (direct):
K 0.123 0.625 0.998
K 0.375 0.373 0.498
K 0.627 0.125 0.002
K 0.875 0.877 0.502
Be 0.250 0.750 0.500
Be 0.500 0.500 0.000
Co 0.000 0.000 0.000
Co 0.750 0.250 0.500